Ta3BeGa | PBE | relaxed

Calculated values
Energy of formation (eV/atom): 0.192
Symmetry: No. 194
M_tot (μB per cell): 0.0

Unit cell a=5.016 b=6.129 c=6.129 alpha=120.00 beta=90.00 gamma=90.00
Fractional positions:
1 Ta 0.250 0.820 0.641
2 Ta 0.250 0.359 0.180
3 Ta 0.750 0.641 0.820
4 Ta 0.750 0.180 0.359
5 Ta 0.250 0.821 0.179
6 Ta 0.750 0.179 0.821
7 Be 0.500 0.000 0.000
8 Be 0.000 0.000 0.000
9 Ga 0.750 0.666 0.334
10 Ga 0.250 0.334 0.666

BaDyGaHg | PBE | relaxed

Calculated values
Energy of formation (eV/atom): -0.318
Symmetry: No. 216
M_tot (μB per cell): 0.0

Unit cell a=5.532 b=5.532 c=5.532 alpha=60.00 beta=60.00 gamma=60.00
Fractional positions:
1 Ba 0.250 0.250 0.250
2 Hg 0.000 0.000 0.000
3 Ga 0.500 0.500 0.500
4 Dy 0.750 0.750 0.750

Rb2SnBr4 | PBE | relaxed

Calculated values
Energy relative to the elements, uncorrected (eV/atom): -1.329
Symmetry: No. 12
M_tot (μB per cell): 0.0

Unit cell a=4.531 b=9.352 c=9.070 alpha=131.65 beta=104.47 gamma=90.00
Fractional positions:
1 Rb 0.652 0.627 0.305
2 Rb 0.348 0.373 0.695
3 Br 0.944 0.236 0.887
4 Br 0.344 0.750 0.688
5 Br 0.056 0.764 0.113
6 Br 0.656 0.250 0.312
7 Sn 0.000 0.000 0.000

GeRhN2 | PBE | relaxed

Calculated values
Energy relative to the elements, uncorrected (eV/atom): 0.423
Symmetry: No. 122
M_tot (μB per cell): 0.0

Unit cell a=4.680 b=4.680 c=5.498 alpha=64.81 beta=64.81 gamma=90.00
Fractional positions:
1 N 0.375 0.416 0.750
2 N 0.166 0.625 0.250
3 N 0.875 0.834 0.750
4 N 0.584 0.125 0.250
5 Ge 0.250 0.750 0.500
6 Ge 0.500 0.500 0.000
7 Rh 0.750 0.250 0.500
8 Rh 0.000 0.000 0.000

LiGe2Se4 | PBE | relaxed

Calculated values
Energy relative to the elements, uncorrected (eV/atom): -0.406
Symmetry: No. 111
M_tot (μB per cell): 0.0

Unit cell a=5.646 b=5.646 c=5.844 alpha=90.00 beta=90.00 gamma=90.00
Fractional positions:
1 Se 0.264 0.736 0.751
2 Se 0.736 0.736 0.249
3 Se 0.264 0.264 0.249
4 Se 0.736 0.264 0.751
5 Ge 0.500 0.000 0.500
6 Ge 0.000 0.500 0.500
7 Li 0.000 0.000 0.000

Tb2Sm5Sc4 | PBE | relaxed

Calculated values
Energy of formation (eV/atom): 0.156
Symmetry: No. 71
M_tot (μB per cell): 0.0

Unit cell a=3.434 b=8.762 c=12.303 alpha=110.86 beta=98.02 gamma=90.00
Fractional positions:
1 Sm 0.859 0.061 0.718
2 Sm 0.859 0.656 0.718
3 Sm 0.141 0.344 0.282
4 Sm 0.500 0.000 0.000
5 Sm 0.141 0.939 0.282
6 Sc 0.000 0.676 0.000
7 Sc 0.000 0.324 0.000
8 Sc 0.594 0.594 0.187
9 Sc 0.406 0.406 0.813
10 Tb 0.730 0.730 0.460
11 Tb 0.270 0.270 0.540

Sc2Ni | PBE | relaxed

Calculated values
Energy of formation (eV/atom): 0.134
Symmetry: No. 191
M_tot (μB per cell): 0.0

Unit cell a=4.621 b=4.621 c=2.812 alpha=90.00 beta=90.00 gamma=120.00
Fractional positions:
1 Ni 0.000 0.000 0.500
2 Sc 0.667 0.333 0.000
3 Sc 0.333 0.667 0.000

ReAgCl2 | PBE | relaxed

Calculated values
Energy relative to the elements, uncorrected (eV/atom): 0.765
Symmetry: No. 12
M_tot (μB per cell): 2.7

Unit cell a=5.977 b=5.527 c=3.108 alpha=67.79 beta=100.32 gamma=126.23
Each line ends with the local moment (μB).
Fractional positions:
1 Cl 0.500 0.000 0.500  0.04
2 Cl 0.000 0.000 0.000  0.04
3 Ag 0.500 0.500 0.000  0.01
4 Re 0.000 0.500 0.500  2.22

Pa3Ge2Os5 | PBE | relaxed

Calculated values
Energy of formation (eV/atom): -0.026
Symmetry: No. 72
M_tot (μB per cell): 0.0

Unit cell a=5.724 b=8.785 c=8.785 alpha=79.23 beta=70.99 gamma=70.99
Fractional positions:
1 Pa 0.628 0.574 0.171
2 Pa 0.750 0.000 0.000
3 Pa 0.872 0.829 0.426
4 Pa 0.372 0.426 0.829
5 Pa 0.128 0.171 0.574
6 Pa 0.250 0.000 0.000
7 Os 0.146 0.463 0.245
8 Os 0.646 0.245 0.463
9 Os 0.457 0.793 0.793
10 Os 0.750 0.500 0.500
11 Os 0.854 0.537 0.755
12 Os 0.250 0.500 0.500
13 Os 0.354 0.755 0.537
14 Os 0.957 0.793 0.793
15 Os 0.543 0.207 0.207
16 Os 0.043 0.207 0.207
17 Ge 0.875 0.304 0.946
18 Ge 0.125 0.696 0.054
19 Ge 0.625 0.054 0.696
20 Ge 0.375 0.946 0.304

TaSiP | PBE | relaxed

Calculated values
Energy relative to the elements, uncorrected (eV/atom): -0.469
Symmetry: No. 107
M_tot (μB per cell): 0.0

Unit cell a=4.672 b=4.669 c=4.669 alpha=138.98 beta=139.00 gamma=59.38
Fractional positions:
1 Ta 0.662 0.662 0.000
2 Si 0.334 0.334 0.000
3 P 0.004 0.004 0.000

Rb2ScBiS4 | PBE | relaxed

Calculated values
Energy relative to the elements, uncorrected (eV/atom): -1.174
Symmetry: No. 74
M_tot (μB per cell): 0.0

Unit cell a=8.462 b=8.462 c=8.264 alpha=119.23 beta=119.23 gamma=89.90
Fractional positions:
1 S 0.786 0.311 0.549
2 S 0.777 0.723 0.524
3 S 0.223 0.277 0.024
4 S 0.811 0.286 0.049
5 S 0.214 0.689 0.451
6 S 0.189 0.714 0.951
7 S 0.223 0.277 0.476
8 S 0.777 0.723 0.976
9 Rb 0.500 0.000 0.500
10 Rb 0.000 0.000 0.500
11 Rb 0.500 0.500 0.000
12 Rb 0.500 0.000 0.000
13 Bi 0.000 0.000 0.000
14 Bi 0.500 0.500 0.500
15 Sc 0.000 0.500 0.000
16 Sc 0.000 0.500 0.500

ZnFeBi3 | PBE | relaxed

Calculated values
Energy of formation (eV/atom): 1.012
Symmetry: No. 221
M_tot (μB per cell): 3.2

Unit cell a=5.349 b=5.349 c=5.349 alpha=90.00 beta=90.00 gamma=90.00
Each line ends with the local moment (μB).
Fractional positions:
1 Bi 0.000 0.000 0.500  -0.09
2 Bi 0.500 0.000 0.000  -0.01
3 Bi 0.000 0.500 0.000  -0.07
4 Zn 0.000 0.000 0.000  -0.01
5 Fe 0.500 0.500 0.500  3.23